Computed, not measured: a relaxed Ac2Ni5Ir5 crystal at the PBE level of DFT.

Values from the calculation:
For the final energy, the calculation gives -7.144 eV per atom. The crystal system is orthorhombic. The calculation puts the density of states at the Fermi level at 12.15 states/eV/f.u. Its formation energy is -0.36 eV/atom.

abc: 4.0798 5.3694 9.1370
angles: 90.00 90.00 90.00
Element x y z (fractional)
Ni (0.0000, 0.0000, 0.1572)
Ac (0.0000, 0.0000, 0.5000)
Ni (0.0000, 0.5000, 0.6679)
Ac (0.0000, 0.5000, 0.0000)
Ni (0.0000, 0.0000, 0.8428)
Ir (0.5000, 0.7543, 0.7522)
Ir (0.5000, 0.7543, 0.2478)
Ni (0.5000, 0.0000, 0.0000)
Ir (0.5000, 0.2457, 0.2478)
Ir (0.5000, 0.5000, 0.5000)
Ir (0.5000, 0.2457, 0.7522)
Ni (0.0000, 0.5000, 0.3321)


Computed, not measured: a relaxed Ac4NiIr3 crystal at the PBE level of DFT.

Values from the calculation:
For the final energy, the calculation gives -6.629 eV per atom. The crystal system is orthorhombic. The calculation puts the density of states at the Fermi level at 3.90 states/eV/f.u. Its formation energy is -0.53 eV/atom.

abc: 4.1767 4.3826 11.5491
angles: 90.00 90.00 90.00
Element x y z (fractional)
Ac (0.0000, 0.5000, 0.8599)
Ac (0.5000, 0.0000, 0.6388)
Ir (0.0000, 0.0000, 0.4114)
Ac (0.5000, 0.5000, 0.3660)
Ir (0.5000, 0.0000, 0.9324)
Ir (0.0000, 0.5000, 0.5867)
Ac (0.0000, 0.0000, 0.1386)
Ni (0.5000, 0.5000, 0.0662)


Computed, not measured: a relaxed Ac8NiIr5 crystal at the PBE level of DFT.

Values from the calculation:
For the final energy, the calculation gives -6.475 eV per atom. The crystal system is tetragonal. The calculation puts the density of states at the Fermi level at 5.23 states/eV/f.u. Its formation energy is -0.55 eV/atom.

abc: 8.0707 8.0707 8.0707
angles: 109.47 109.47 109.47
Element x y z (fractional)
Ac (0.7384, 0.2466, 0.3703)
Ac (0.2442, 0.2493, 0.3744)
Ac (0.5082, 0.6319, 0.2616)
Ac (0.6256, 0.8698, 0.8750)
Ac (0.1237, 0.7534, 0.4918)
Ir (0.3722, 0.1195, 0.9940)
Ac (0.1250, 0.7507, 0.9948)
Ac (0.6297, 0.3681, 0.8763)
Ir (0.0060, 0.3782, 0.1255)
Ir (0.8745, 0.8805, 0.2527)
Ir (0.7473, 0.6218, 0.6278)
Ir (0.5000, 0.0000, 0.5000)
Ac (0.0052, 0.1302, 0.7558)
Ni (0.2500, 0.5000, 0.7500)


Computed, not measured: a relaxed Ac6Ni2Ir crystal at the PBE level of DFT.

Values from the calculation:
For the final energy, the calculation gives -5.314 eV per atom. The crystal system is trigonal. The calculation puts the density of states at the Fermi level at 7.25 states/eV/f.u. Its formation energy is -0.31 eV/atom.

abc: 6.9679 7.4540 7.4540
angles: 120.00 90.00 90.00
Element x y z (fractional)
Ac (0.7304, 0.0000, 0.3352)
Ac (0.7304, 0.6648, 0.6648)
Ni (0.5000, 0.6667, 0.3333)
Ni (0.5000, 0.3333, 0.6667)
Ac (0.7304, 0.3352, 0.0000)
Ac (0.2696, 0.0000, 0.6648)
Ac (0.2696, 0.3352, 0.3352)
Ac (0.2696, 0.6648, 0.0000)
Ir (0.5000, 0.0000, 0.0000)


> Look up the density of states at the Fermi level of the third one.

5.23 states/eV/f.u.


> The highest final energy belongs to which entry?

Ac6Ni2Ir